Record 1
Material: SbPtPbI2
Method: DFT, PBE
State: relaxed

Cell: 6.0023 6.0023 6.1181 Å, 90.00 90.00 90.00°
Site moments in Bohr magnetons follow the coordinates.
Element x y z (fractional)
Pt  0.5000  0.5000  0.5000  0.14
Sb  0.0000  0.0000  0.5000  0.46
I  0.5000  0.0000  0.0000  0.07
I  0.0000  0.5000  0.0000  0.07
Pb  0.0000  0.0000  0.0000  0.01

Relative energy among the computed polymorphs   932.7 meV per atom
Magnetic moment   1.58 μB per cell
Crystal system   tetragonal
Volume   220 Å³ per cell
VASP energy   -2.327 eV per atom

=====

Record 2
Material: NaLi2AlBr
Method: DFT, PBE
State: relaxed

Cell: 4.9088 5.5146 4.9088 Å, 90.00 90.00 90.00°
Element x y z (fractional)
Li  0.0000  0.0000  0.5000
Li  0.5000  0.0000  0.0000
Br  0.0000  0.0000  0.0000
Na  0.0000  0.5000  0.0000
Al  0.5000  0.5000  0.5000

Magnetic moment   0.00 μB per cell
Crystal system   tetragonal
Volume   133 Å³ per cell
VASP energy   -2.338 eV per atom

=====

Record 3
Material: Na4Ho3GaSe8
Method: DFT, PBE
State: relaxed

Cell: 8.1354 8.4420 8.1386 Å, 118.84 119.99 90.00°
Element x y z (fractional)
Ho  0.5000  0.5000  0.5000
Ho  0.0000  0.5000  0.5000
Ho  0.5000  0.5000  0.0000
Se  0.2327  0.7219  0.9892
Se  0.2435  0.2781  0.0108
Se  0.7432  0.7297  0.4864
Se  0.2335  0.7225  0.4670
Se  0.2568  0.2703  0.5136
Se  0.7565  0.7219  0.9892
Se  0.7665  0.2775  0.5330
Se  0.7673  0.2781  0.0108
Na  0.5000  0.0000  0.0000
Na  0.0000  0.0000  0.5000
Na  0.5000  0.0000  0.5000
Na  0.0000  0.0000  0.0000
Ga  0.0000  0.5000  0.0000

Magnetic moment   0.00 μB per cell
Crystal system   trigonal
Volume   402 Å³ per cell
VASP energy   -4.549 eV per atom

=====

Record 4
Material: VOsRh2
Method: DFT, PBE
State: relaxed

Cell: 3.7126 3.7126 9.2145 Å, 78.38 78.38 90.00°
Element x y z (fractional)
Rh  0.8750  0.8710  0.7500
Rh  0.6210  0.1250  0.2500
Rh  0.1290  0.6250  0.2500
Rh  0.3750  0.3790  0.7500
Os  0.7500  0.2500  0.5000
Os  0.0000  0.0000  0.0000
V  0.5000  0.5000  0.0000
V  0.2500  0.7500  0.5000

Relative energy among the computed polymorphs   597.2 meV per atom
Magnetic moment   0.00 μB per cell
Energy relative to the elements   32.8 kJ per mole of atoms
Crystal system   tetragonal
Volume   122 Å³ per cell
VASP energy   -8.423 eV per atom

=====

Record 5
Material: Cd2PtW
Method: DFT, PBE
State: relaxed

Cell: 2.8587 4.9823 5.0257 Å, 90.00 90.00 90.00°
Element x y z (fractional)
W  0.0000  0.5000  0.5000
Cd  0.0000  0.0000  0.0000
Cd  0.5000  0.5000  0.0000
Pt  0.5000  0.0000  0.5000

Relative energy among the computed polymorphs   298.2 meV per atom
Magnetic moment   0.02 μB per cell
Energy relative to the elements   33.1 kJ per mole of atoms
Crystal system   orthorhombic
Volume   72 Å³ per cell
VASP energy   -4.863 eV per atom

=====

Record 6
Material: PmScCCl
Method: DFT, PBE
State: relaxed

Cell: 3.7677 3.7677 14.3103 Å, 82.44 82.44 60.00°
Element x y z (fractional)
Pm  0.9199  0.9199  0.2402
Pm  0.0801  0.0801  0.7598
Sc  0.6901  0.6901  0.9296
Sc  0.3099  0.3099  0.0704
C  0.3758  0.3758  0.8725
C  0.6242  0.6242  0.1275
Cl  0.7895  0.7895  0.6314
Cl  0.2105  0.2105  0.3686

Magnetic moment   0.00 μB per cell
Crystal system   trigonal
Volume   174 Å³ per cell
VASP energy   -6.508 eV per atom

=====

Record 7
Material: AlGe2Cl8
Method: DFT, PBE
State: relaxed

Cell: 7.0405 7.3111 7.3111 Å, 91.66 79.72 79.72°
Element x y z (fractional)
Cl  0.1705  0.2526  0.9298
Cl  0.8295  0.7474  0.0702
Cl  0.8295  0.0702  0.7474
Cl  0.7573  0.1956  0.1956
Cl  0.7289  0.6344  0.6344
Cl  0.1705  0.9298  0.2526
Cl  0.2427  0.8044  0.8044
Cl  0.2711  0.3656  0.3656
Al  0.0000  0.0000  0.0000
Ge  0.3849  0.1440  0.1440
Ge  0.6151  0.8560  0.8560

Magnetic moment   0.01 μB per cell
Crystal system   monoclinic
Volume   364 Å³ per cell
VASP energy   -3.462 eV per atom

=====

Record 8
Material: Pm3Ga7Co2
Method: DFT, PBE
State: relaxed

Cell: 4.2760 4.2664 13.0729 Å, 99.41 90.00 90.00°
Element x y z (fractional)
Co  0.5000  0.3718  0.7437
Co  0.5000  0.6282  0.2563
Ga  0.5000  0.7203  0.4400
Ga  0.0000  0.0000  0.0000
Ga  0.5000  0.9125  0.8252
Ga  0.0000  0.5881  0.1755
Ga  0.5000  0.2797  0.5600
Ga  0.0000  0.4119  0.8245
Ga  0.5000  0.0875  0.1748
Pm  0.0000  0.1811  0.3613
Pm  0.0000  0.8189  0.6387
Pm  0.5000  0.5000  0.0000

Relative energy among the computed polymorphs   0.0 meV per atom
Magnetic moment   0.00 μB per cell
Energy relative to the elements   -51.8 kJ per mole of atoms
Crystal system   orthorhombic
Volume   235 Å³ per cell
VASP energy   -4.675 eV per atom

=====

- Which value of magnetic moment does entry 6 give?
  0.00 μB per cell

=====

- Which formula does entry 5 have?
  Cd2PtW

=====

- What is the magnetic moment in the first record?
  1.58 μB per cell